Record 1
The following is a DFT calculation (PBE-GGA) of CsHoCoSe3 after structural relaxation.

Calculated values
magnetic moment	0.498	μB per atom
DFT total energy	-5.009	eV/atom

Unit cell a=8.3552 b=8.3552 c=10.8069 alpha=90.00 beta=90.00 gamma=28.30
With the nearest neighbours (Å) after each atom.
Fractional positions:
1 Se 0.3851 0.3851 0.0643  1 Co 2.40
2 Se 0.6149 0.6149 0.5643  1 Co 2.40
3 Se 0.6149 0.6149 0.9357  1 Co 2.40
4 Se 0.3851 0.3851 0.4357  1 Co 2.40
5 Se 0.9469 0.9469 0.7500  2 Co 2.48
6 Se 0.0531 0.0531 0.2500  2 Co 2.48
7 Cs 0.7432 0.7432 0.2500  8 Se 3.67-3.98, 2 Cs 4.08
8 Cs 0.2568 0.2568 0.7500  8 Se 3.67-3.98, 2 Cs 4.08
9 Co 0.5339 0.5339 0.7500  4 Se 2.40-2.48
10 Co 0.4661 0.4661 0.2500  4 Se 2.40-2.48
11 Ho 0.0000 0.0000 0.0000  6 Se 2.84-2.85
12 Ho 0.0000 0.0000 0.5000  6 Se 2.84-2.85

Record 2
The following is a DFT calculation (PBE-GGA) of ScIn2AuBr6 after structural relaxation.

Calculated values
magnetic moment	0.000	μB per atom
DFT total energy	-3.350	eV/atom

Unit cell a=7.6719 b=7.6719 c=7.6719 alpha=60.00 beta=60.00 gamma=60.00
With the nearest neighbours (Å) after each atom.
Fractional positions:
1 In 0.7500 0.7500 0.7500  12 Br 3.84
2 In 0.2500 0.2500 0.2500  12 Br 3.84
3 Br 0.7571 0.2429 0.2429  1 Sc 2.64, 1 Au 2.79
4 Br 0.2429 0.7571 0.7571  1 Sc 2.64, 1 Au 2.79
5 Br 0.7571 0.7571 0.2429  1 Sc 2.64, 1 Au 2.79
6 Br 0.2429 0.7571 0.2429  1 Sc 2.64, 1 Au 2.79
7 Br 0.7571 0.2429 0.7571  1 Sc 2.64, 1 Au 2.79
8 Br 0.2429 0.2429 0.7571  1 Sc 2.64, 1 Au 2.79
9 Sc 0.0000 0.0000 0.0000  6 Br 2.64
10 Au 0.5000 0.5000 0.5000  6 Br 2.79

Record 3
The following is a DFT calculation (PBE-GGA) of LiCuReSb after structural relaxation.

Calculated values
magnetic moment	0.001	μB per atom
distance to the lowest polymorph of the same formula	0	kJ/mol of formula units
DFT total energy	-5.168	eV/atom

Unit cell a=4.4067 b=4.4067 c=4.4067 alpha=60.00 beta=60.00 gamma=60.00
With the nearest neighbours (Å) after each atom.
Fractional positions:
1 Sb 0.0000 0.0000 0.0000  4 Cu 2.70, 4 Re 2.70
2 Re 0.2500 0.2500 0.2500  4 Li 2.70, 4 Sb 2.70
3 Li 0.5000 0.5000 0.5000  4 Cu 2.70, 4 Re 2.70
4 Cu 0.7500 0.7500 0.7500  4 Li 2.70, 4 Sb 2.70

Record 4
The following is a DFT calculation (PBE-GGA) of ZrCdNO after structural relaxation.

Calculated values
magnetic moment	0.001	μB per atom
distance to the lowest polymorph of the same formula	83	kJ/mol of formula units
DFT total energy	-6.812	eV/atom

Unit cell a=4.6451 b=4.6451 c=4.7741 alpha=90.00 beta=90.00 gamma=90.00
With the nearest neighbours (Å) after each atom.
Fractional positions:
1 N 0.5000 0.5000 0.5037  4 Zr 2.32, 2 Cd 2.38-2.39
2 N 0.0000 0.0000 0.4963  4 Zr 2.32, 2 Cd 2.38-2.39
3 O 0.5000 0.0000 0.0000  4 Cd 2.32, 2 Zr 2.39
4 O 0.0000 0.5000 0.0000  4 Cd 2.32, 2 Zr 2.39
5 Cd 0.5000 0.5000 0.0044  4 O 2.32, 2 N 2.38-2.39
6 Cd 0.0000 0.0000 0.9956  4 O 2.32, 2 N 2.38-2.39
7 Zr 0.5000 0.0000 0.5000  4 N 2.32, 2 O 2.39
8 Zr 0.0000 0.5000 0.5000  4 N 2.32, 2 O 2.39

Record 5
The following is a DFT calculation (PBE-GGA) of PaBAs after structural relaxation.

Calculated values
magnetic moment	0.005	μB per atom
distance to the lowest polymorph of the same formula	0	kJ/mol of formula units
DFT total energy	-6.902	eV/atom

Unit cell a=4.2184 b=4.2184 c=4.2184 alpha=60.00 beta=60.00 gamma=60.00
With the nearest neighbours (Å) after each atom.
Fractional positions:
1 As 0.2500 0.2500 0.2500  4 B 2.58
2 Pa 0.7500 0.7500 0.7500  4 B 2.58
3 B 0.0000 0.0000 0.0000  4 Pa 2.58, 4 As 2.58

Record 6
The following is a DFT calculation (PBE-GGA) of InGeAu3Se4 after structural relaxation.

Calculated values
DFT total energy	-3.487	eV/atom

Unit cell a=6.2067 b=6.2067 c=6.2067 alpha=90.00 beta=90.00 gamma=90.00
With the nearest neighbours (Å) after each atom.
Fractional positions:
1 Au 0.5000 0.0000 0.0000  4 Se 2.70
2 Au 0.0000 0.0000 0.5000  4 Se 2.70
3 Au 0.0000 0.5000 0.0000  4 Se 2.70
4 Se 0.2536 0.2536 0.7464  1 In 2.65, 3 Au 2.70, 1 Ge 2.73
5 Se 0.7464 0.2536 0.2536  1 In 2.65, 3 Au 2.70, 1 Ge 2.73
6 Se 0.7464 0.7464 0.7464  1 In 2.65, 3 Au 2.70, 1 Ge 2.73
7 Se 0.2536 0.7464 0.2536  1 In 2.65, 3 Au 2.70, 1 Ge 2.73
8 In 0.5000 0.5000 0.5000  4 Se 2.65
9 Ge 0.0000 0.0000 0.0000  4 Se 2.73

Record 7
The following is a DFT calculation (PBE-GGA) of NaBeSbPt after structural relaxation.

Calculated values
magnetic moment	0.000	μB per atom
distance to the lowest polymorph of the same formula	61	kJ/mol of formula units
DFT total energy	-3.659	eV/atom

Unit cell a=4.5733 b=4.5733 c=4.5733 alpha=60.00 beta=60.00 gamma=60.00
With the nearest neighbours (Å) after each atom.
Fractional positions:
1 Be 0.7500 0.7500 0.7500  4 Sb 2.80, 4 Pt 2.80
2 Na 0.2500 0.2500 0.2500  4 Sb 2.80, 4 Pt 2.80
3 Sb 0.0000 0.0000 0.0000  4 Be 2.80, 4 Na 2.80
4 Pt 0.5000 0.5000 0.5000  4 Na 2.80, 4 Be 2.80

Record 8
The following is a DFT calculation (PBE-GGA) of CuMo3Pb5 after structural relaxation.

Calculated values
magnetic moment	0.001	μB per atom
DFT total energy	-5.530	eV/atom

Unit cell a=5.5743 b=5.5743 c=8.6962 alpha=90.00 beta=90.00 gamma=120.00
With the nearest neighbours (Å) after each atom.
Fractional positions:
1 Pb 0.3333 0.6667 0.7979  3 Mo 3.05, 3 Pb 3.22
2 Pb 0.6667 0.3333 0.2021  3 Mo 3.05, 3 Pb 3.22
3 Pb 0.0000 0.0000 0.5000  6 Mo 2.79
4 Pb 0.6667 0.3333 0.7979  3 Mo 3.05, 3 Pb 3.22
5 Pb 0.3333 0.6667 0.2021  3 Mo 3.05, 3 Pb 3.22
6 Mo 0.5000 0.5000 0.5000  6 Pb 2.79-3.05, 4 Mo 2.79
7 Mo 0.0000 0.5000 0.5000  6 Pb 2.79-3.05, 4 Mo 2.79
8 Mo 0.5000 0.0000 0.5000  4 Mo 2.79, 6 Pb 2.79-3.05
9 Cu 0.0000 0.0000 0.0000  12 Pb 3.67

Record 9
The following is a DFT calculation (PBE-GGA) of Tm3Lu3Bi2Pd after structural relaxation.

Calculated values
magnetic moment	0.205	μB per atom
distance to the lowest polymorph of the same formula	24	kJ/mol of formula units
DFT total energy	-5.040	eV/atom

Unit cell a=8.3328 b=8.3328 c=4.0540 alpha=90.00 beta=90.00 gamma=120.00
With the nearest neighbours (Å) after each atom.
Fractional positions:
1 Lu 0.6057 0.0000 0.0000  4 Bi 3.27, 1 Pd 3.29, 6 Tm 3.51-3.65
2 Lu 0.0000 0.6057 0.0000  4 Bi 3.27, 1 Pd 3.29, 6 Tm 3.51-3.65
3 Lu 0.3943 0.3943 0.0000  4 Bi 3.27, 1 Pd 3.29, 6 Tm 3.51-3.65
4 Pd 0.0000 0.0000 0.0000  6 Tm 2.86
5 Bi 0.6667 0.3333 0.5000  3 Tm 3.23, 6 Lu 3.27
6 Bi 0.3333 0.6667 0.5000  3 Tm 3.23, 6 Lu 3.27
7 Tm 0.2419 0.0000 0.5000  2 Pd 2.86
8 Tm 0.0000 0.2419 0.5000  2 Pd 2.86
9 Tm 0.7581 0.7581 0.5000  2 Pd 2.86

Record 10
The following is a DFT calculation (PBE-GGA) of TlReAuSe2S after structural relaxation.

Calculated values
magnetic moment	0.110	μB per atom
DFT total energy	-4.888	eV/atom

Unit cell a=9.0469 b=9.0469 c=9.0384 alpha=90.00 beta=90.00 gamma=156.14
With the nearest neighbours (Å) after each atom.
Fractional positions:
1 Au 0.6573 0.3427 0.7500  2 Se 2.51
2 Au 0.3427 0.6573 0.2500  2 Se 2.51
3 Re 0.0000 0.0000 0.5000  2 S 2.26
4 Re 0.0000 0.0000 0.0000  2 S 2.26
5 Se 0.6027 0.3973 0.4931  1 Au 2.51, 2 Re 2.61
6 Se 0.6027 0.3973 0.0069  1 Au 2.51, 2 Re 2.61
7 Se 0.3973 0.6027 0.5069  1 Au 2.51, 2 Re 2.61
8 Se 0.3973 0.6027 0.9931  1 Au 2.51, 2 Re 2.61
9 Tl 0.2833 0.7167 0.7500  2 Au 2.91, 2 Se 2.98
10 Tl 0.7167 0.2833 0.2500  2 Au 2.91, 2 Se 2.98
11 S 0.9992 0.0008 0.7500  2 Re 2.26
12 S 0.0008 0.9992 0.2500  2 Re 2.26

Record 11
The following is a DFT calculation (PBE-GGA) of GaCu15 after structural relaxation.

Calculated values
distance to the lowest polymorph of the same formula	44	kJ/mol of formula units
DFT total energy	-3.611	eV/atom

Unit cell a=4.4188 b=34.1878 c=4.4203 alpha=90.00 beta=109.45 gamma=90.00
With the nearest neighbours (Å) after each atom.
Fractional positions:
1 Cu 0.5000 0.4812 0.2500  12 Cu 2.55-2.56
2 Cu 0.0000 0.5187 0.2500  12 Cu 2.55-2.56
3 Cu 0.5000 0.4064 0.2500  12 Cu 2.54-2.56
4 Cu 0.5000 0.3315 0.2500  12 Cu 2.53-2.60
5 Cu 0.0000 0.7444 0.2500  9 Cu 2.52-2.60, 2 Ga 2.56
6 Cu 0.0000 0.2957 0.2500  11 Cu 2.53-2.60, 1 Ga 2.66
7 Cu 0.5000 0.2555 0.2500  9 Cu 2.52-2.60, 2 Ga 2.55
8 Cu 0.5000 0.7799 0.2500  5 Cu 2.52-2.54, 2 Ga 2.55
9 Cu 0.0000 0.5559 0.7500  12 Cu 2.54-2.56
10 Cu 0.0000 0.4441 0.2500  12 Cu 2.54-2.56
11 Cu 0.0000 0.6302 0.7500  12 Cu 2.53-2.57
12 Cu 0.5000 0.5188 0.7500  12 Cu 2.55-2.56
13 Cu 0.0000 0.5935 0.2500  12 Cu 2.54-2.56
14 Cu 0.0000 0.3698 0.2500  12 Cu 2.53-2.57
15 Cu 0.5000 0.2943 0.7500  12 Cu 2.54-2.58
16 Cu 0.5000 0.7445 0.7500  9 Cu 2.52-2.60, 2 Ga 2.55
17 Cu 0.0000 0.6684 0.2500  12 Cu 2.53-2.60
18 Cu 0.0000 0.3316 0.7500  12 Cu 2.53-2.60
19 Cu 0.5000 0.6308 0.2500  12 Cu 2.55-2.56
20 Cu 0.0000 0.4813 0.7500  12 Cu 2.55-2.56
21 Cu 0.0000 0.2556 0.7500  9 Cu 2.52-2.60, 2 Ga 2.56
22 Cu 0.5000 0.7057 0.2500  12 Cu 2.54-2.58
23 Cu 0.5000 0.5560 0.2500  12 Cu 2.55-2.56
24 Cu 0.5000 0.6685 0.7500  12 Cu 2.53-2.60
25 Cu 0.0000 0.7043 0.7500  11 Cu 2.53-2.60, 1 Ga 2.66
26 Cu 0.5000 0.4440 0.7500  12 Cu 2.55-2.56
27 Cu 0.5000 0.5936 0.7500  12 Cu 2.54-2.56
28 Cu 0.0000 0.4065 0.7500  12 Cu 2.54-2.56
29 Cu 0.5000 0.2201 0.7500  5 Cu 2.52-2.54, 2 Ga 2.55
30 Cu 0.5000 0.3692 0.7500  12 Cu 2.55-2.56
31 Ga 0.0000 0.2181 0.2500  7 Cu 2.55-2.66
32 Ga 0.0000 0.7819 0.7500  7 Cu 2.55-2.66

DFT total energy of number 8 (CuMo3Pb5)? -5.530 eV/atom

Which of these has the lowest DFT total energy? PaBAs